Arrangement one

Entry from Alexandria: VCr2H after structural relaxation (GGA-PBE).

Geometry as POSCAR:
```
VCr2H
1.0
5.577 0.000 0.000
0.000 5.577 0.000
0.000 0.000 5.577
V Cr H
4 8 4
Cartesian
0.000 0.000 0.000
0.000 2.788 2.788
2.788 0.000 2.788
2.788 2.788 0.000
1.394 1.394 1.394
1.394 1.394 4.182
1.394 4.182 1.394
1.394 4.182 4.182
4.182 1.394 1.394
4.182 1.394 4.182
4.182 4.182 1.394
4.182 4.182 4.182
0.000 0.000 2.788
0.000 2.788 0.000
2.788 0.000 0.000
2.788 2.788 2.788
```

---

Arrangement two

Entry from Alexandria: VCr2H after structural relaxation (GGA-PBE).

Geometry as POSCAR:
```
VCr2H
1.0
2.754 0.000 0.000
0.000 2.754 0.000
0.000 0.000 5.357
V Cr H
1 2 1
Cartesian
0.000 0.000 0.000
1.377 1.377 1.658
1.377 1.377 3.699
0.000 0.000 2.679
```

---

Arrangement three

Entry from Alexandria: VCr2H after structural relaxation (GGA-PBE).

Geometry as POSCAR:
```
VCr2H
1.0
3.663 0.000 0.000
-1.831 3.172 0.000
0.000 0.000 15.325
V Cr H
3 6 3
Cartesian
0.000 0.000 0.000
0.000 2.115 10.217
1.831 1.057 5.108
0.000 0.000 6.002
0.000 0.000 9.323
0.000 2.115 0.894
0.000 2.115 4.215
1.831 1.057 11.110
1.831 1.057 14.431
0.000 0.000 7.662
0.000 2.115 2.554
1.831 1.057 12.771
```

---

Energy ordering: arrangement two at the bottom, the next structure 387 meV/atom above.

---

Arrangement one

Entry from Alexandria: V2CrH4 after structural relaxation (GGA-PBE).

Geometry as POSCAR:
```
V2CrH4
1.0
3.416 0.000 0.000
0.000 3.416 0.000
0.000 0.000 9.235
V Cr H
4 2 8
Cartesian
0.000 0.000 1.108
0.000 0.000 8.127
1.708 1.708 3.510
1.708 1.708 5.725
0.000 0.000 4.617
1.708 1.708 0.000
0.000 0.000 2.952
0.000 0.000 6.283
0.000 1.708 0.000
0.000 1.708 4.617
1.708 0.000 0.000
1.708 0.000 4.617
1.708 1.708 1.666
1.708 1.708 7.569
```

---

Arrangement two

Entry from Alexandria: V2CrH4 after structural relaxation (GGA-PBE).

Geometry as POSCAR:
```
V2CrH4
1.0
3.751 -3.781 0.000
3.751 3.781 0.000
-3.742 0.000 3.773
V Cr H
4 2 8
Cartesian
0.000 0.000 0.000
-1.871 0.000 1.887
1.876 1.890 0.000
0.005 -1.890 1.887
0.945 0.939 2.830
2.816 -0.939 0.943
-1.931 0.078 3.699
1.944 1.969 1.813
3.688 1.969 0.074
-0.060 -0.078 1.812
3.822 0.078 1.961
0.074 -1.969 3.699
1.817 -1.969 1.960
5.692 -0.078 0.074
```

---

Energy ordering: arrangement two at the bottom, the next structure 187 meV/atom above.

---

Arrangement one

Entry from Alexandria: VCr2H2 after structural relaxation (GGA-PBE).

Geometry as POSCAR:
```
VCr2H2
1.0
3.262 0.000 0.000
0.000 3.262 0.000
0.000 0.000 8.369
V Cr H
2 4 4
Cartesian
0.000 0.000 0.000
1.631 1.631 4.184
0.000 1.631 2.092
0.000 1.631 6.276
1.631 0.000 2.092
1.631 0.000 6.276
0.000 0.000 3.151
0.000 0.000 5.218
1.631 1.631 1.033
1.631 1.631 7.335
```

---

Arrangement two

Entry from Alexandria: VCr2H2 after structural relaxation (GGA-PBE).

Geometry as POSCAR:
```
VCr2H2
1.0
5.461 0.000 0.000
0.000 5.461 0.000
0.000 0.000 2.856
V Cr H
2 4 4
Cartesian
0.000 0.000 0.000
2.731 2.731 0.000
0.823 1.908 1.428
1.908 4.639 1.428
3.553 0.823 1.428
4.639 3.553 1.428
1.090 3.821 0.000
1.640 1.090 0.000
3.821 4.371 0.000
4.371 1.640 0.000
```

---

Energy ordering: arrangement two at the bottom, the next structure 77 meV/atom above.

---

Arrangement one

Entry from Alexandria: V3CrH after structural relaxation (GGA-PBE).

Geometry as POSCAR:
```
V3CrH
1.0
3.814 0.000 0.000
0.000 3.814 0.000
0.000 0.000 3.814
V Cr H
3 1 1
Cartesian
0.000 0.000 1.907
0.000 1.907 0.000
1.907 0.000 0.000
1.907 1.907 1.907
0.000 0.000 0.000
```

---

Arrangement two

Entry from Alexandria: V3CrH after structural relaxation (GGA-PBE).

Geometry as POSCAR:
```
V3CrH
1.0
2.642 0.000 0.000
0.000 4.024 0.000
-1.197 0.000 5.083
V Cr H
3 1 1
Cartesian
0.000 0.000 0.000
-0.117 2.012 3.708
1.561 2.012 1.375
0.722 0.000 2.541
0.000 2.012 0.000
```

---

Arrangement three

Entry from Alexandria: V3CrH after structural relaxation (GGA-PBE).

Geometry as POSCAR:
```
V3CrH
1.0
4.309 0.000 0.000
0.000 4.309 0.000
0.000 0.000 4.309
V Cr H
3 1 1
Cartesian
0.000 0.000 2.154
0.000 2.154 0.000
2.154 0.000 0.000
0.000 0.000 0.000
2.154 2.154 2.154
```

---

Energy ordering: arrangement two at the bottom, the next structure 217 meV/atom above.

---

Arrangement one

Entry from Alexandria: Cr2HW after structural relaxation (GGA-PBE).

Geometry as POSCAR:
```
Cr2HW
1.0
5.844 0.000 0.000
0.000 5.844 0.000
0.000 0.000 5.844
Cr H W
8 4 4
Cartesian
1.461 1.461 1.461
1.461 1.461 4.383
1.461 4.383 1.461
1.461 4.383 4.383
4.383 1.461 1.461
4.383 1.461 4.383
4.383 4.383 1.461
4.383 4.383 4.383
0.000 0.000 0.000
0.000 2.922 2.922
2.922 0.000 2.922
2.922 2.922 0.000
0.000 0.000 2.922
0.000 2.922 0.000
2.922 0.000 0.000
2.922 2.922 2.922
```

---

Arrangement two

Entry from Alexandria: Cr2HW after structural relaxation (GGA-PBE).

Geometry as POSCAR:
```
Cr2HW
1.0
2.712 0.000 0.000
-1.356 2.348 0.000
0.000 0.000 20.925
Cr H W
6 3 3
Cartesian
0.000 0.000 2.442
0.000 0.000 18.483
0.000 1.566 11.508
0.000 1.566 16.393
1.356 0.783 4.533
1.356 0.783 9.417
0.000 0.000 10.463
0.000 1.566 3.488
1.356 0.783 17.438
0.000 0.000 0.000
0.000 1.566 13.950
1.356 0.783 6.975
```

---

Arrangement three

Entry from Alexandria: Cr2HW after structural relaxation (GGA-PBE).

Geometry as POSCAR:
```
Cr2HW
1.0
0.000 3.524 3.524
3.524 0.000 3.524
3.524 3.524 0.000
Cr H W
4 2 2
Cartesian
0.000 0.000 0.000
1.762 1.762 0.000
1.762 0.000 1.762
0.000 1.762 1.762
0.881 0.881 0.881
6.166 6.166 6.166
2.643 2.643 2.643
4.404 4.404 4.404
```

---

Energy ordering: arrangement three at the bottom, the next structure 189 meV/atom above.

---

Arrangement one

Entry from Alexandria: CrH3W after structural relaxation (GGA-PBE).

Geometry as POSCAR:
```
CrH3W
1.0
3.499 0.000 0.000
0.000 3.499 0.000
0.000 0.000 3.499
Cr H W
1 3 1
Cartesian
0.000 0.000 0.000
0.000 1.749 1.749
1.749 0.000 1.749
1.749 1.749 0.000
1.749 1.749 1.749
```

---

Arrangement two

Entry from Alexandria: CrH3W after structural relaxation (GGA-PBE).

Geometry as POSCAR:
```
CrH3W
1.0
3.295 0.000 0.000
0.000 3.295 0.000
0.000 0.000 3.295
Cr H W
1 3 1
Cartesian
0.000 0.000 0.000
0.000 0.000 1.647
0.000 1.647 0.000
1.647 0.000 0.000
1.647 1.647 1.647
```

---

Energy ordering: arrangement two at the bottom, the next structure 12 meV/atom above.

---

Arrangement one

Entry from Alexandria: YCr2H after structural relaxation (GGA-PBE).

Geometry as POSCAR:
```
YCr2H
1.0
0.000 3.812 3.812
3.812 0.000 3.812
3.812 3.812 0.000
Y Cr H
2 4 2
Cartesian
0.953 0.953 0.953
6.672 6.672 6.672
3.812 1.906 1.906
1.906 3.812 1.906
1.906 1.906 3.812
3.812 3.812 3.812
2.859 2.859 2.859
4.766 4.766 4.766
```

---

Arrangement two

Entry from Alexandria: YCr2H after structural relaxation (GGA-PBE).

Geometry as POSCAR:
```
YCr2H
1.0
6.550 0.000 0.000
0.000 6.550 0.000
0.000 0.000 6.550
Y Cr H
4 8 4
Cartesian
0.000 0.000 0.000
0.000 3.275 3.275
3.275 0.000 3.275
3.275 3.275 0.000
1.638 1.638 1.638
1.638 1.638 4.913
1.638 4.913 1.638
1.638 4.913 4.913
4.913 1.638 1.638
4.913 1.638 4.913
4.913 4.913 1.638
4.913 4.913 4.913
0.000 0.000 3.275
0.000 3.275 0.000
3.275 0.000 0.000
3.275 3.275 3.275
```

---

Energy ordering: arrangement one at the bottom, the next structure 1055 meV/atom above.

---

Arrangement one

Entry from Alexandria: Y2CrH after structural relaxation (GGA-PBE).

Geometry as POSCAR:
```
Y2CrH
1.0
6.959 0.000 0.000
0.000 6.959 0.000
0.000 0.000 6.959
Y Cr H
8 4 4
Cartesian
1.740 1.740 1.740
1.740 1.740 5.219
1.740 5.219 1.740
1.740 5.219 5.219
5.219 1.740 1.740
5.219 1.740 5.219
5.219 5.219 1.740
5.219 5.219 5.219
0.000 0.000 0.000
0.000 3.479 3.479
3.479 0.000 3.479
3.479 3.479 0.000
0.000 0.000 3.479
0.000 3.479 0.000
3.479 0.000 0.000
3.479 3.479 3.479
```

---

Arrangement two

Entry from Alexandria: Y2CrH after structural relaxation (GGA-PBE).

Geometry as POSCAR:
```
Y2CrH
1.0
6.836 0.000 0.000
0.000 6.836 0.000
0.000 0.000 7.123
Y Cr H
8 4 4
Cartesian
1.063 1.709 0.890
1.709 4.481 2.671
1.709 5.773 6.233
2.355 1.709 4.452
4.481 5.127 4.452
5.127 1.063 6.233
5.127 2.355 2.671
5.773 5.127 0.890
0.000 0.000 3.562
0.000 3.418 5.343
3.418 0.000 1.781
3.418 3.418 0.000
0.000 0.000 0.000
0.000 3.418 1.781
3.418 0.000 5.343
3.418 3.418 3.562
```

---

Energy ordering: arrangement two at the bottom, the next structure 401 meV/atom above.

---

Arrangement one

Entry from Alexandria: Zn2Cr2H after structural relaxation (GGA-PBE).

Geometry as POSCAR:
```
Zn2Cr2H
1.0
5.039 0.000 0.000
0.000 5.039 0.000
0.000 0.000 4.539
Zn Cr H
4 4 2
Cartesian
0.858 1.662 0.000
1.662 4.181 0.000
3.378 0.858 0.000
4.181 3.378 0.000
0.754 3.274 2.269
1.766 0.754 2.269
3.274 4.286 2.269
4.286 1.766 2.269
0.000 0.000 2.269
2.520 2.520 2.269
```

---

Arrangement two

Entry from Alexandria: Zn2Cr2H after structural relaxation (GGA-PBE).

Geometry as POSCAR:
```
Zn2Cr2H
1.0
3.360 0.000 0.000
0.000 3.360 0.000
0.000 0.000 12.095
Zn Cr H
4 4 2
Cartesian
0.000 1.680 3.024
0.000 1.680 9.071
1.680 0.000 3.024
1.680 0.000 9.071
0.000 0.000 0.898
0.000 0.000 11.196
1.680 1.680 5.149
1.680 1.680 6.946
0.000 0.000 6.047
1.680 1.680 0.000
```

---

Energy ordering: arrangement one at the bottom, the next structure 660 meV/atom above.

---

Arrangement one

Entry from Alexandria: Zn2CrH2 after structural relaxation (GGA-PBE).

Geometry as POSCAR:
```
Zn2CrH2
1.0
5.297 0.000 0.000
0.000 5.297 0.000
0.000 0.000 3.784
Zn Cr H
4 2 4
Cartesian
1.312 1.336 0.000
1.336 3.985 0.000
3.960 1.312 0.000
3.985 3.960 0.000
0.000 0.000 1.892
2.648 2.648 1.892
1.306 1.342 1.892
1.342 3.990 1.892
3.954 1.306 1.892
3.990 3.954 1.892
```

---

Arrangement two

Entry from Alexandria: Zn2CrH2 after structural relaxation (GGA-PBE).

Geometry as POSCAR:
```
Zn2CrH2
1.0
2.622 0.000 0.000
0.000 2.622 0.000
0.000 0.000 13.767
Zn Cr H
4 2 4
Cartesian
0.000 0.000 1.929
0.000 0.000 11.839
1.311 1.311 4.955
1.311 1.311 8.812
0.000 0.000 6.884
1.311 1.311 0.000
0.000 1.311 3.442
0.000 1.311 10.325
1.311 0.000 3.442
1.311 0.000 10.325
```

---

Energy ordering: arrangement one at the bottom, the next structure 302 meV/atom above.

---

Arrangement one

Entry from Alexandria: ZnCrH2 after structural relaxation (GGA-PBE).

Geometry as POSCAR:
```
ZnCrH2
1.0
5.125 0.000 0.000
0.000 5.125 0.000
0.000 0.000 5.125
Zn Cr H
4 4 8
Cartesian
0.000 0.000 0.000
0.000 2.562 2.562
2.562 0.000 2.562
2.562 2.562 0.000
0.000 0.000 2.562
0.000 2.562 0.000
2.562 0.000 0.000
2.562 2.562 2.562
1.281 1.281 1.281
1.281 1.281 3.843
1.281 3.843 1.281
1.281 3.843 3.843
3.843 1.281 1.281
3.843 1.281 3.843
3.843 3.843 1.281
3.843 3.843 3.843
```

---

Arrangement two

Entry from Alexandria: ZnCrH2 after structural relaxation (GGA-PBE).

Geometry as POSCAR:
```
ZnCrH2
1.0
2.816 0.000 0.000
-1.408 2.439 0.000
0.000 0.000 14.940
Zn Cr H
3 3 6
Cartesian
0.000 0.000 0.000
0.000 1.626 9.960
1.408 0.813 4.980
0.000 0.000 12.247
0.000 1.626 7.267
1.408 0.813 2.288
0.000 0.000 3.085
0.000 0.000 6.640
0.000 1.626 1.660
0.000 1.626 13.044
1.408 0.813 8.065
1.408 0.813 11.620
```

---

Energy ordering: arrangement two at the bottom, the next structure 395 meV/atom above.

---

Arrangement one

Entry from Alexandria: ZnCrH3 after structural relaxation (GGA-PBE).

Geometry as POSCAR:
```
ZnCrH3
1.0
3.587 0.000 0.000
0.000 3.587 0.000
0.000 0.000 3.587
Zn Cr H
1 1 3
Cartesian
0.000 0.000 0.000
1.793 1.793 1.793
0.000 0.000 1.793
0.000 1.793 0.000
1.793 0.000 0.000
```

---

Arrangement two

Entry from Alexandria: ZnCrH3 after structural relaxation (GGA-PBE).

Geometry as POSCAR:
```
ZnCrH3
1.0
3.391 0.000 0.000
0.000 3.391 0.000
0.000 0.000 3.391
Zn Cr H
1 1 3
Cartesian
0.000 0.000 0.000
1.695 1.695 1.695
0.000 1.695 1.695
1.695 0.000 1.695
1.695 1.695 0.000
```

---

Energy ordering: arrangement two at the bottom, the next structure 365 meV/atom above.